<i>
The following is a PBE-GGA calculation of an optimized crystal structure of InIF2, from the Alexandria database.

The structure in POSCAR format:
```
InIF2
1.0
0.000 3.314 3.314
3.314 0.000 3.314
3.314 3.314 0.000
F In I
2 1 1
Direct
0.250 0.250 0.250
0.750 0.750 0.750
0.000 0.000 0.000
0.500 0.500 0.500
```

Results
DOS(E_F): 0.868 states/eV per cell

***

<ii>
The following is a PBE-GGA calculation of an optimized crystal structure of InIF2, from the Alexandria database.

The structure in POSCAR format:
```
InIF2
1.0
-5.053 -7.399 3.938
-1.897 -9.028 3.268
-2.334 -7.114 6.303
In I F
1 1 2
Direct
0.500 0.500 0.500
0.000 0.000 0.000
0.868 0.868 0.868
0.132 0.132 0.132
```

Results
DOS(E_F): 1.953 states/eV per cell

***

<iii>
The following is a PBE-GGA calculation of an optimized crystal structure of InIF2, from the Alexandria database.

The structure in POSCAR format:
```
InIF2
1.0
5.452 0.000 0.000
0.000 5.452 0.000
2.726 2.726 6.367
F In I
4 2 2
Direct
0.375 0.625 0.750
0.375 0.125 0.250
0.875 0.625 0.750
0.375 0.625 0.250
0.500 0.500 0.000
0.250 0.750 0.500
0.750 0.250 0.500
0.000 0.000 0.000
```

Results
DOS(E_F): 2.527 states/eV per cell

***

The structure with the least stability is <i>.

***

<i>
The following is a PBE-GGA calculation of an optimized crystal structure of In3IF, from the Alexandria database.

The structure in POSCAR format:
```
In3IF
1.0
6.475 0.000 0.000
0.000 6.475 0.000
0.000 0.000 6.475
I In F
1 3 1
Direct
0.000 0.000 0.000
0.000 0.500 0.000
0.000 0.000 0.500
0.500 0.000 0.000
0.500 0.500 0.500
```

Results
DOS(E_F): 3.163 states/eV per cell

***

<ii>
The following is a PBE-GGA calculation of an optimized crystal structure of In3IF, from the Alexandria database.

The structure in POSCAR format:
```
In3IF
1.0
-1.049 -5.110 1.230
4.819 -0.434 2.305
-2.098 1.557 4.680
In I F
3 1 1
Direct
0.500 0.000 0.000
0.000 0.500 0.000
0.000 0.000 0.500
0.500 0.500 0.500
0.000 0.000 0.000
```

Results
DOS(E_F): 2.530 states/eV per cell

***

The structure with the least stability is <i>.

***

<i>
The following is a PBE-GGA calculation of an optimized crystal structure of InIOF2, from the Alexandria database.

The structure in POSCAR format:
```
InIOF2
1.0
4.312 0.000 0.000
0.000 4.312 0.000
0.000 0.000 4.809
In O F I
1 1 2 1
Direct
0.000 0.000 0.000
0.000 0.000 0.500
0.000 0.500 0.000
0.500 0.000 0.000
0.500 0.500 0.500
```

Results
DOS(E_F): 2.666 states/eV per cell

***

<ii>
The following is a PBE-GGA calculation of an optimized crystal structure of InIOF2, from the Alexandria database.

The structure in POSCAR format:
```
InIOF2
1.0
4.899 0.000 0.000
0.000 4.899 0.000
0.000 0.000 4.073
F O I In
2 1 1 1
Direct
0.000 0.500 0.000
0.500 0.000 0.000
0.000 0.000 0.500
0.000 0.000 0.000
0.500 0.500 0.500
```

Results
DOS(E_F): 1.868 states/eV per cell

***

The structure with the least stability is <ii>.

***

<i>
The following is a PBE-GGA calculation of an optimized crystal structure of InSbI2F, from the Alexandria database.

The structure in POSCAR format:
```
InSbI2F
1.0
-5.629 -2.368 1.097
1.761 -5.370 -2.560
1.318 -1.376 3.793
Sb I F In
1 2 1 1
Direct
0.000 0.000 0.500
0.000 0.500 0.000
0.500 0.000 0.000
0.000 0.000 0.000
0.500 0.500 0.500
```

Results
DOS(E_F): 0.965 states/eV per cell

***

<ii>
The following is a PBE-GGA calculation of an optimized crystal structure of InSbI2F, from the Alexandria database.

The structure in POSCAR format:
```
InSbI2F
1.0
-0.009 4.117 4.112
-2.677 -3.654 3.652
5.210 -1.902 1.915
I Sb F In
2 1 1 1
Direct
0.500 0.000 0.000
0.000 0.500 0.000
0.000 0.000 0.500
0.500 0.500 0.500
0.000 0.000 0.000
```

Results
DOS(E_F): 8.370 states/eV per cell

***

The structure with the least stability is <ii>.

***

<i>
The following is a PBE-GGA calculation of an optimized crystal structure of Ir2IF, from the Alexandria database.

The structure in POSCAR format:
```
Ir2IF
1.0
0.000 3.143 3.143
3.143 0.000 3.143
3.143 3.143 0.000
Ir F I
2 1 1
Direct
0.250 0.250 0.250
0.750 0.750 0.750
0.000 0.000 0.000
0.500 0.500 0.500
```

Results
DOS(E_F): 1.693 states/eV per cell

***

<ii>
The following is a PBE-GGA calculation of an optimized crystal structure of Ir2IF, from the Alexandria database.

The structure in POSCAR format:
```
Ir2IF
1.0
-2.116 -4.147 4.974
1.479 -5.404 -3.876
2.319 -4.827 1.627
F I Ir
2 2 4
Direct
0.250 0.750 0.500
0.500 0.500 0.000
0.750 0.250 0.500
0.000 0.000 0.000
0.875 0.852 0.750
0.148 0.625 0.250
0.375 0.398 0.750
0.602 0.125 0.250
```

Results
DOS(E_F): 5.874 states/eV per cell

***

The structure with the least stability is <ii>.

***

<i>
The following is a PBE-GGA calculation of an optimized crystal structure of IrIF3, from the Alexandria database.

The structure in POSCAR format:
```
IrIF3
1.0
4.302 0.000 0.000
0.000 4.302 0.000
0.000 0.000 4.302
F I Ir
3 1 1
Direct
0.000 0.500 0.000
0.500 0.000 0.000
0.000 0.000 0.500
0.500 0.500 0.500
0.000 0.000 0.000
```

Results
DOS(E_F): 14.008 states/eV per cell

***

<ii>
The following is a PBE-GGA calculation of an optimized crystal structure of IrIF3, from the Alexandria database.

The structure in POSCAR format:
```
IrIF3
1.0
-1.589 -3.514 2.683
2.574 -3.053 -2.474
3.594 0.633 2.958
F I Ir
3 1 1
Direct
0.000 0.000 0.500
0.500 0.000 0.000
0.000 0.500 0.000
0.000 0.000 0.000
0.500 0.500 0.500
```

Results
DOS(E_F): 5.088 states/eV per cell

***

The structure with the least stability is <ii>.

***

<i>
The following is a PBE-GGA calculation of an optimized crystal structure of IrI2F, from the Alexandria database.

The structure in POSCAR format:
```
IrI2F
1.0
-2.877 -5.308 -3.566
4.935 0.645 -4.940
3.477 -5.063 -2.164
F I Ir
2 4 2
Direct
0.250 0.750 0.500
0.500 0.500 0.000
0.094 0.625 0.250
0.875 0.906 0.750
0.656 0.125 0.250
0.375 0.344 0.750
0.000 0.000 0.000
0.750 0.250 0.500
```

Results
DOS(E_F): 4.078 states/eV per cell

***

<ii>
The following is a PBE-GGA calculation of an optimized crystal structure of IrI2F, from the Alexandria database.

The structure in POSCAR format:
```
IrI2F
1.0
0.231 0.824 4.695
-0.018 4.482 1.639
-3.819 1.677 2.319
I Ir F
2 1 1
Direct
0.250 0.250 0.250
0.750 0.750 0.750
0.500 0.500 0.500
0.000 0.000 0.000
```

Results
DOS(E_F): 2.440 states/eV per cell

***

The structure with the least stability is <ii>.

***

<i>
The following is a PBE-GGA calculation of an optimized crystal structure of IrI2OF, from the Alexandria database.

The structure in POSCAR format:
```
IrI2OF
1.0
5.515 0.000 0.000
0.000 5.515 0.000
0.000 0.000 3.702
I O Ir F
2 1 1 1
Direct
0.000 0.500 0.000
0.500 0.000 0.000
0.000 0.000 0.500
0.000 0.000 0.000
0.500 0.500 0.500
```

Results
DOS(E_F): 6.737 states/eV per cell

***

<ii>
The following is a PBE-GGA calculation of an optimized crystal structure of IrI2OF, from the Alexandria database.

The structure in POSCAR format:
```
IrI2OF
1.0
5.112 0.000 0.000
0.000 5.112 0.000
0.000 0.000 3.536
F O I Ir
1 1 2 1
Direct
0.000 0.000 0.000
0.000 0.000 0.500
0.000 0.500 0.000
0.500 0.000 0.000
0.500 0.500 0.500
```

Results
DOS(E_F): 5.791 states/eV per cell

***

The structure with the least stability is <ii>.